(1)
TbCeGaGe | Alexandria via LeMat-Bulk | GGA-PBE | relaxed; total moment = 1.0 μB per cell; SG = F-43m; E above lowest polymorph = 0.1270 eV/atom; density of states at the Fermi level = 1.720 states/eV/atom; DFT formation energy = -0.558 eV per atom; uncorrected energy = -5.1102 eV/atom
1.0
0.0000 3.6157 3.6157
3.6157 0.0000 3.6157
3.6157 3.6157 0.0000
Tb Ce Ga Ge
1 1 1 1
Cartesian
0.0000 0.0000 0.0000 Tb
3.6157 3.6157 3.6157 Ce
5.4236 5.4236 5.4236 Ga
1.8079 1.8079 1.8079 Ge



(2)
CeGa2Tc2Ge | Alexandria via LeMat-Bulk | GGA-PBE | relaxed; total moment = 0.4 μB per cell; SG = P4/mmm; density of states at the Fermi level = 0.917 states/eV/atom; DFT formation energy = -0.119 eV per atom; uncorrected energy = -6.3414 eV/atom
1.0
4.6018 0.0000 0.0000
0.0000 4.6018 0.0000
0.0000 0.0000 5.6471
Ce Ga Tc Ge
1 2 2 1
Cartesian
0.0000 0.0000 0.0000 Ce
2.3009 2.3009 1.3531 Ga
2.3009 2.3009 4.2940 Ga
0.0000 2.3009 2.8235 Tc
2.3009 0.0000 2.8235 Tc
0.0000 0.0000 2.8235 Ge



(3)
CeThGaGe | Alexandria via LeMat-Bulk | GGA-PBE | relaxed; total moment = 0.9 μB per cell; SG = Amm2; E above lowest polymorph = 0.0000 eV/atom; density of states at the Fermi level = 1.903 states/eV/atom; DFT formation energy = -0.610 eV per atom; uncorrected energy = -5.8599 eV/atom
1.0
4.0862 0.0000 0.0000
0.0000 2.2229 5.5833
0.0000 -2.2229 5.5833
Ce Th Ga Ge
1 1 1 1
Cartesian
0.0000 0.0000 0.0000 Ce
2.0431 0.0000 3.1378 Th
2.0431 0.0000 6.2869 Ga
0.0000 0.0000 8.0236 Ge



(4)
CeThGaGe | Alexandria via LeMat-Bulk | GGA-PBE | relaxed; total moment = 1.6 μB per cell; SG = F-43m; E above lowest polymorph = 0.1611 eV/atom; density of states at the Fermi level = 2.194 states/eV/atom; DFT formation energy = -0.449 eV per atom; uncorrected energy = -5.6989 eV/atom
1.0
0.0000 3.6673 3.6673
3.6673 0.0000 3.6673
3.6673 3.6673 0.0000
Ce Th Ga Ge
1 1 1 1
Cartesian
0.0000 0.0000 0.0000 Ce
3.6673 3.6673 3.6673 Th
5.5010 5.5010 5.5010 Ga
1.8337 1.8337 1.8337 Ge



(5)
CeTmGaGe | Alexandria via LeMat-Bulk | GGA-PBE | relaxed; total moment = 0.9 μB per cell; SG = F-43m; E above lowest polymorph = 0.1112 eV/atom; density of states at the Fermi level = 1.500 states/eV/atom; DFT formation energy = -0.557 eV per atom; uncorrected energy = -5.0699 eV/atom
1.0
0.0000 3.5835 3.5835
3.5835 0.0000 3.5835
3.5835 3.5835 0.0000
Ce Tm Ga Ge
1 1 1 1
Cartesian
0.0000 0.0000 0.0000 Ce
3.5835 3.5835 3.5835 Tm
1.7917 1.7917 1.7917 Ga
5.3752 5.3752 5.3752 Ge



(6)
CeTmGaGe | Alexandria via LeMat-Bulk | GGA-PBE | relaxed; total moment = 1.1 μB per cell; SG = Amm2; E above lowest polymorph = 0.0000 eV/atom; density of states at the Fermi level = 1.692 states/eV/atom; DFT formation energy = -0.669 eV per atom; uncorrected energy = -5.1811 eV/atom
1.0
4.0202 0.0000 0.0000
0.0000 2.1698 5.4507
0.0000 -2.1698 5.4507
Ce Tm Ga Ge
1 1 1 1
Cartesian
0.0000 0.0000 0.0000 Ce
2.0101 0.0000 3.0554 Tm
2.0101 0.0000 6.1785 Ga
0.0000 0.0000 7.8701 Ge



(7)
CeYGaGe | Alexandria via LeMat-Bulk | GGA-PBE | relaxed; total moment = 1.2 μB per cell; SG = Amm2; E above lowest polymorph = 0.0000 eV/atom; density of states at the Fermi level = 1.705 states/eV/atom; DFT formation energy = -0.698 eV per atom; uncorrected energy = -5.7082 eV/atom
1.0
4.0443 0.0000 0.0000
0.0000 2.1863 5.5022
0.0000 -2.1863 5.5022
Ce Y Ga Ge
1 1 1 1
Cartesian
0.0000 0.0000 0.0000 Ce
2.0221 0.0000 3.0944 Y
2.0221 0.0000 6.2425 Ga
0.0000 0.0000 7.9262 Ge



(8)
CeYGaGe | Alexandria via LeMat-Bulk | GGA-PBE | relaxed; total moment = 0.9 μB per cell; SG = F-43m; E above lowest polymorph = 0.1295 eV/atom; density of states at the Fermi level = 1.679 states/eV/atom; DFT formation energy = -0.568 eV per atom; uncorrected energy = -5.5787 eV/atom
1.0
0.0000 3.6133 3.6133
3.6133 0.0000 3.6133
3.6133 3.6133 0.0000
Ce Y Ga Ge
1 1 1 1
Cartesian
0.0000 0.0000 0.0000 Ce
3.6133 3.6133 3.6133 Y
5.4200 5.4200 5.4200 Ga
1.8067 1.8067 1.8067 Ge